First-principles (PBEsol) data for a relaxed Mn3Ni crystal, as listed in Alexandria via LeMat-Bulk.

Properties
**Space group**: No. 25
**DOS at the Fermi energy**: 1.4111 states/eV/atom
**Formation energy**: 0.033 eV per atom

a b c (Å): 2.436 3.923 4.282
angles (deg): 90.00 90.00 90.00
Positions (direct):
Mn1 0.000 0.000 0.000
Mn2 0.000 0.500 0.324
Mn3 0.500 0.000 0.500
Ni1 0.500 0.500 0.830

=====

First-principles (PBEsol) data for a relaxed Mn5Ni crystal, as listed in Alexandria via LeMat-Bulk.

Properties
**Space group**: No. 65
**DOS at the Fermi energy**: 0.9568 states/eV/atom
**Formation energy**: 0.034 eV per atom

a b c (Å): 5.575 5.575 3.449
angles (deg): 90.00 90.00 143.37
Positions (direct):
Mn1 0.000 0.000 0.000
Mn2 0.163 0.837 0.500
Mn3 0.335 0.665 0.000
Mn4 0.665 0.335 0.000
Mn5 0.837 0.163 0.500
Ni1 0.500 0.500 0.500

=====

First-principles (PBEsol) data for a relaxed Mn5Ni crystal, as listed in Alexandria via LeMat-Bulk.

Properties
**Space group**: No. 189
**DOS at the Fermi energy**: 1.3200 states/eV/atom
**Formation energy**: 0.019 eV per atom

a b c (Å): 4.260 4.260 3.910
angles (deg): 90.00 90.00 120.00
Positions (direct):
Mn1 0.000 0.334 0.000
Mn2 0.333 0.667 0.500
Mn3 0.334 0.000 0.000
Mn4 0.666 0.666 0.000
Mn5 0.667 0.333 0.500
Ni1 0.000 0.000 0.500

=====

First-principles (PBEsol) data for a relaxed Mn5Ni3 crystal, as listed in Alexandria via LeMat-Bulk.

Properties
**Space group**: No. 65
**DOS at the Fermi energy**: 1.0154 states/eV/atom
**Formation energy**: 0.041 eV per atom

a b c (Å): 4.929 4.929 3.462
angles (deg): 90.00 90.00 90.89
Positions (direct):
Mn1 0.000 0.000 0.000
Mn2 0.000 0.500 0.000
Mn3 0.247 0.753 0.500
Mn4 0.500 0.000 0.000
Mn5 0.753 0.247 0.500
Ni1 0.253 0.253 0.500
Ni2 0.500 0.500 0.000
Ni3 0.747 0.747 0.500

=====

First-principles (PBEsol) data for a relaxed MnNi3 crystal, as listed in Alexandria via LeMat-Bulk.

Properties
**Space group**: No. 44
**DOS at the Fermi energy**: 1.3829 states/eV/atom
**Formation energy**: 0.039 eV per atom

a b c (Å): 4.741 4.741 4.741
angles (deg): 149.14 63.00 126.56
Positions (direct):
Mn1 0.000 0.000 0.000
Ni1 0.093 0.341 0.752
Ni2 0.501 0.001 0.500
Ni3 0.590 0.341 0.248

=====

First-principles (PBEsol) data for a relaxed Mn24Ni5 crystal, as listed in Alexandria via LeMat-Bulk.

Properties
**Space group**: No. 217
**DOS at the Fermi energy**: 1.2205 states/eV/atom
**Formation energy**: 0.014 eV per atom

a b c (Å): 7.327 7.327 7.327
angles (deg): 109.47 109.47 109.47
Positions (direct):
Mn1 0.000 0.323 0.610
Mn2 0.000 0.610 0.323
Mn3 0.000 0.626 0.805
Mn4 0.000 0.805 0.626
Mn5 0.179 0.374 0.374
Mn6 0.195 0.195 0.821
Mn7 0.195 0.821 0.195
Mn8 0.287 0.677 0.677
Mn9 0.323 0.000 0.610
Mn10 0.323 0.610 0.000
Mn11 0.374 0.179 0.374
Mn12 0.374 0.374 0.179
Mn13 0.390 0.390 0.713
Mn14 0.390 0.713 0.390
Mn15 0.610 0.000 0.323
Mn16 0.610 0.323 0.000
Mn17 0.626 0.000 0.805
Mn18 0.626 0.805 0.000
Mn19 0.677 0.287 0.677
Mn20 0.677 0.677 0.287
Mn21 0.713 0.390 0.390
Mn22 0.805 0.000 0.626
Mn23 0.805 0.626 0.000
Mn24 0.821 0.195 0.195
Ni1 0.000 0.000 0.000
Ni2 0.000 0.000 0.355
Ni3 0.000 0.355 0.000
Ni4 0.355 0.000 0.000
Ni5 0.645 0.645 0.645

=====

| no. | calculated volume (Å³/cell) | theoretical density (Mg/m³) | DFT total energy (eV per cell) |
| --- | --- | --- | --- |
| 1 | 41 | 9.1 | -35.3 |
| 2 | 64 | 8.7 | -54.8 |
| 3 | 61 | 9.0 | -54.8 |
| 4 | 84 | 8.9 | -67.0 |
| 5 | 43 | 8.8 | -28.1 |
| 6 | 303 | 8.8 | -264.7 |